Crystalline ErCrO2 at its relaxed geometry. Source: Alexandria, functional PBE+U.

Results
M_tot	1.084	μB/atom
E_tot	-7.97	eV/atom

Cell lengths 6.4543, 6.4543, 6.4543 Å; angles 31.22, 31.22, 31.22 degrees
Fractional coordinates of all 4 atoms:
Er: 0.0000 0.0000 0.0000
Cr: 0.5000 0.5000 0.5000
O: 0.3913 0.3913 0.3913
O: 0.6087 0.6087 0.6087